(1)
First-principles (PBE) data for a relaxed TiBe2Ni7 crystal, as listed in Alexandria via LeMat-Bulk.

Unit cell a=6.4410 b=9.7450 c=3.9055 alpha=90.00 beta=90.00 gamma=90.00
Space group Cmmm (No. 65)
Unique sites:
Ti 0.0000 0.0000 0.0000 x2
Be 0.0000 0.2912 0.5000 x4
Ni 0.0000 0.3012 0.0000 x4
Ni 0.0000 0.5000 0.5000 x2
Ni 0.1908 0.1245 0.5000 x8

Crystal system: orthorhombic
Total moment: 0.000 μB/cell
Electronic total energy: -107.781 eV for the cell shown
Formation energy: 0.19 eV/atom



(2)
First-principles (PBE) data for a relaxed Ba2IrPt crystal, as listed in Alexandria via LeMat-Bulk.

Unit cell a=4.8315 b=4.9530 c=10.7530 alpha=90.00 beta=90.00 gamma=90.00
Space group Amm2 (No. 38)
Unique sites:
Ba 0.0000 0.0000 0.0000 x2
Ba 0.5000 0.0000 0.2949 x2
Ir 0.5000 0.0000 0.6167 x2
Pt 0.0000 0.0000 0.6857 x2

Crystal system: orthorhombic
Total moment: 0.000 μB/cell
Electronic total energy: -40.568 eV for the cell shown
Formation energy: -0.38 eV/atom